[1]
Computed, not measured: a PBEsol-optimized structure of Ac2AgIr at the meta-GGA SCAN level of DFT.

Lattice parameters (Å, degrees): 5.297 5.297 5.297 60.00 60.00 60.00
Positions (direct):
Ac 0.750 0.750 0.750
Ac 0.250 0.250 0.250
Ir 0.000 0.000 0.000
Ag 0.500 0.500 0.500

Calculated values
For the formation energy, the calculation gives -0.450 eV per atom. The value obtained for the energy is -71.304 eV per atom.



[2]
Computed, not measured: a PBEsol-optimized structure of FeNi2W at the meta-GGA SCAN level of DFT.

Lattice parameters (Å, degrees): 3.489 3.489 3.744 90.00 90.00 90.00
Positions (direct):
Ni 0.000 0.500 0.000
Ni 0.500 0.000 0.000
Fe 0.000 0.000 0.500
W 0.500 0.500 0.500

Calculated values
The value obtained for the energy relative to the lowest polymorph listed for this composition is 0.082 eV/atom. For the formation energy, the calculation gives 0.110 eV per atom. The value obtained for the energy is -29.931 eV per atom.